The following is a DFT calculation (PBE) of crystalline MgSiB2 at its relaxed geometry.

Summary:
Formation energy (no corrections), meV per atom: 131
Distance to the lowest polymorph of the same formula, eV/atom: 0.0150
Mass density, g/cm3: 2.6
Energy, eV for the cell shown: -19.85
Total magnetization, μB/f.u.: 0.0
DOS(E_F), states/eV/f.u.: 0.63

```
4
Lattice="1.5541 0.8973 5.5528 -1.5541 0.8973 5.5528 0.0000 -1.7945 5.5528" Properties=species:S:1:pos:R:3 pbc="T T T"
Mg 0.0000 0.0000 0.0000
Si 0.0000 0.0000 7.6327
B 0.0000 0.0000 3.8296
B 0.0000 0.0000 9.5642
```



The following is a DFT calculation (PBE) of crystalline Sr2BiRhO5 at its relaxed geometry.

Summary:
Formation energy (no corrections), meV per atom: -1721
Mass density, g/cm3: 7.1
Energy, eV for the cell shown: -109.74
Total magnetization, μB/f.u.: 0.0
DOS(E_F), states/eV/f.u.: 0.40

```
18
Lattice="1.7141 -8.0177 0.0000 1.7141 8.0177 0.0000 0.0000 0.0000 9.6489" Properties=species:S:1:pos:R:3 pbc="T T T"
Sr 1.7141 5.7929 4.8244
Sr 1.7141 5.7687 0.6625
Sr 1.7141 -5.7687 5.4870
Sr 1.7141 -5.7929 0.0000
Bi 1.7141 0.1605 2.6844
Bi 1.7141 -0.1605 7.5088
Rh 1.7141 4.3998 7.5678
Rh 1.7141 -4.3998 2.7434
O 1.7141 6.4411 7.5959
O 1.7141 3.4867 4.0233
O 1.7141 3.4705 1.4663
O 1.7141 2.2759 7.5710
O 1.7141 0.0324 0.5095
O 1.7141 -0.0324 5.3339
O 1.7141 -2.2759 2.7466
O 1.7141 -3.4705 6.2907
O 1.7141 -3.4867 8.8477
O 1.7141 -6.4411 2.7714
```



The following is a DFT calculation (PBE) of crystalline Gd2VAg at its relaxed geometry.

Summary:
Distance to the lowest polymorph of the same formula, eV/atom: 0.0000
Mass density, g/cm3: 8.2
Energy, eV for the cell shown: -39.87
Energy of formation from the pure elements, eV/f.u.: 0.261
Total magnetization, μB/f.u.: 17.1
DOS(E_F), states/eV/f.u.: 2.75

```
4
Lattice="3.6645 0.0000 0.0000 0.0000 3.6645 0.0000 0.0000 0.0000 7.1740" Properties=species:S:1:pos:R:3 pbc="T T T"
Gd 0.0000 0.0000 1.7337
Gd 0.0000 0.0000 5.4403
V 1.8322 1.8322 0.0000
Ag 1.8322 1.8322 3.5870
```